Entry 1:
CoPb2SF: single point on PBEsol structure, SCAN.

Results
As for the calculated total energy: -36.291 eV per atom. As for the magnetic moment: 2.1 μB/f.u. Its space group is P4/mmm, No. 123.

Unit cell a=4.7218 b=4.7218 c=4.8534 alpha=90.00 beta=90.00 gamma=90.00
Closest atoms and distances in Å follow each position.
Atoms (fractional coordinates):
Pb: 0.0000 0.5000 0.0000  2 F 2.36
Pb: 0.5000 0.0000 0.0000  2 F 2.36
S: 0.0000 0.0000 0.5000  2 F 2.43
Co: 0.5000 0.5000 0.5000  4 S 3.34, 8 Pb 3.39
F: 0.0000 0.0000 0.0000  4 Pb 2.36, 2 S 2.43

Entry 2:
TaNbS2: single point on PBEsol structure, SCAN.

Results
As for the calculated total energy: -29.970 eV per atom. As for the magnetic moment: 1.3 μB/f.u. Its space group is I-42d, No. 122.

Unit cell a=5.7130 b=6.3376 c=5.7130 alpha=116.79 beta=90.00 gamma=116.79
Closest atoms and distances in Å follow each position.
Atoms (fractional coordinates):
Nb: 0.7500 0.5000 0.2500  4 S 2.38
Nb: 0.5000 0.0000 0.5000  4 S 2.38
S: 0.3704 0.2500 0.3750  2 Ta 2.34, 2 Nb 2.38
S: 0.8796 0.2500 0.8750  2 Ta 2.34, 2 Nb 2.38
S: 0.1250 0.7500 0.6296  2 Ta 2.34, 2 Nb 2.38
S: 0.6250 0.7500 0.1204  2 Ta 2.34, 2 Nb 2.38
Ta: 0.2500 0.5000 0.7500  4 S 2.34
Ta: 0.0000 0.0000 0.0000  4 S 2.34

Please write out number 2 again, unchanged.
TaNbS2: single point on PBEsol structure, SCAN.

Results
As for the calculated total energy: -29.970 eV per atom. As for the magnetic moment: 1.3 μB/f.u. Its space group is I-42d, No. 122.

Unit cell a=5.7130 b=6.3376 c=5.7130 alpha=116.79 beta=90.00 gamma=116.79
Closest atoms and distances in Å follow each position.
Atoms (fractional coordinates):
Nb: 0.7500 0.5000 0.2500  4 S 2.38
Nb: 0.5000 0.0000 0.5000  4 S 2.38
S: 0.3704 0.2500 0.3750  2 Ta 2.34, 2 Nb 2.38
S: 0.8796 0.2500 0.8750  2 Ta 2.34, 2 Nb 2.38
S: 0.1250 0.7500 0.6296  2 Ta 2.34, 2 Nb 2.38
S: 0.6250 0.7500 0.1204  2 Ta 2.34, 2 Nb 2.38
Ta: 0.2500 0.5000 0.7500  4 S 2.34
Ta: 0.0000 0.0000 0.0000  4 S 2.34

What is the magnetic moment in the first record? 2.1 μB/f.u.

Which formula does entry 1 have? CoPb2SF

Number 1 is which compound? CoPb2SF